CaMo2W at its PBEsol-relaxed geometry. Source: Alexandria, functional SCAN.

Calculated values
space-group type = P4mm, No. 99
E_form = 678.9 meV per atom

Lattice parameters (Å, degrees): 3.1304 3.1304 7.5511 90.00 90.00 90.00
Positions (direct):
Ca (0.0000, 0.0000, 0.0000)
Mo (0.0000, 0.0000, 0.4993)
Mo (0.5000, 0.5000, 0.3065)
W (0.5000, 0.5000, 0.6950)

Ca2MoW at its PBEsol-relaxed geometry. Source: Alexandria, functional SCAN.

Calculated values
space-group type = P4mm, No. 99
E_form = 473.7 meV per atom

Lattice parameters (Å, degrees): 3.3060 3.3060 8.8168 90.00 90.00 90.00
Positions (direct):
Ca (0.0000, 0.0000, 0.0000)
Ca (0.5000, 0.5000, 0.3767)
Mo (0.0000, 0.0000, 0.6227)
W (0.5000, 0.5000, 0.7510)

CaYMo2 at its PBEsol-relaxed geometry. Source: Alexandria, functional SCAN.

Calculated values
space-group type = P2/m, No. 10
E_form = 686.0 meV per atom

Lattice parameters (Å, degrees): 2.9408 4.9486 6.3259 90.00 101.97 90.00
Positions (direct):
Ca (0.0000, 0.0000, 0.0000)
Y (0.0000, 0.0000, 0.5000)
Mo (0.4747, 0.5000, 0.6831)
Mo (0.5253, 0.5000, 0.3169)

CaYMo2 at its PBEsol-relaxed geometry. Source: Alexandria, functional SCAN.

Calculated values
space-group type = Pmmm, No. 47
E_form = 665.2 meV per atom

Lattice parameters (Å, degrees): 3.3668 4.4700 6.3810 90.00 90.00 90.00
Positions (direct):
Ca (0.0000, 0.0000, 0.0000)
Y (0.0000, 0.0000, 0.5000)
Mo (0.5000, 0.5000, 0.3282)
Mo (0.5000, 0.5000, 0.6718)

CaYMo2 at its PBEsol-relaxed geometry. Source: Alexandria, functional SCAN.

Calculated values
space-group type = I4/mmm, No. 139
E_form = 801.1 meV per atom

Lattice parameters (Å, degrees): 5.7070 5.7070 5.7070 138.88 138.88 59.56
Positions (direct):
Ca (0.0000, 0.0000, 0.0000)
Y (0.5000, 0.5000, 0.0000)
Mo (0.2500, 0.7500, 0.5000)
Mo (0.7500, 0.2500, 0.5000)

Ca4YMo at its PBEsol-relaxed geometry. Source: Alexandria, functional SCAN.

Calculated values
space-group type = F-43m, No. 216
E_form = 821.7 meV per atom

Lattice parameters (Å, degrees): 6.5196 6.5196 6.5196 60.00 60.00 60.00
Positions (direct):
Ca (0.1254, 0.1254, 0.1254)
Ca (0.1254, 0.1254, 0.6237)
Ca (0.1254, 0.6237, 0.1254)
Ca (0.6237, 0.1254, 0.1254)
Y (0.7500, 0.7500, 0.7500)
Mo (0.5000, 0.5000, 0.5000)

CaYMo at its PBEsol-relaxed geometry. Source: Alexandria, functional SCAN.

Calculated values
space-group type = I4mm, No. 107
E_form = 653.7 meV per atom

Lattice parameters (Å, degrees): 7.9409 7.9409 7.9409 157.30 157.30 32.32
Positions (direct):
Ca (0.0000, 0.0000, 0.0000)
Y (0.2841, 0.2841, 0.0000)
Mo (0.6483, 0.6483, 0.0000)

CaZn2Mo at its PBEsol-relaxed geometry. Source: Alexandria, functional SCAN.

Calculated values
space-group type = I4/mmm, No. 139
E_form = 290.2 meV per atom

Lattice parameters (Å, degrees): 4.6385 4.6385 4.6385 120.18 120.18 89.68
Positions (direct):
Ca (0.0000, 0.0000, 0.0000)
Zn (0.2500, 0.7500, 0.5000)
Zn (0.7500, 0.2500, 0.5000)
Mo (0.5000, 0.5000, 0.0000)

CaZnMo2 at its PBEsol-relaxed geometry. Source: Alexandria, functional SCAN.

Calculated values
space-group type = P4/mmm, No. 123
E_form = 605.1 meV per atom

Lattice parameters (Å, degrees): 3.8318 3.8318 4.6981 90.00 90.00 90.00
Positions (direct):
Ca (0.0000, 0.0000, 0.0000)
Zn (0.5000, 0.5000, 0.0000)
Mo (0.0000, 0.5000, 0.5000)
Mo (0.5000, 0.0000, 0.5000)

CaZn2Mo at its PBEsol-relaxed geometry. Source: Alexandria, functional SCAN.

Calculated values
space-group type = Cm, No. 8
E_form = 290.3 meV per atom

Lattice parameters (Å, degrees): 5.3582 5.3582 4.9522 109.63 109.63 30.71
Positions (direct):
Ca (0.0000, 0.0000, 0.0000)
Zn (0.4727, 0.4727, 0.4979)
Zn (0.7598, 0.7598, 0.1791)
Mo (0.2169, 0.2169, 0.6416)

CaZnMo2 at its PBEsol-relaxed geometry. Source: Alexandria, functional SCAN.

Calculated values
space-group type = C2/m, No. 12
E_form = 520.5 meV per atom

Lattice parameters (Å, degrees): 5.5368 5.5368 4.9737 105.99 105.99 28.27
Positions (direct):
Ca (0.0000, 0.0000, 0.0000)
Zn (0.5000, 0.5000, 0.5000)
Mo (0.2252, 0.2252, 0.7270)
Mo (0.7748, 0.7748, 0.2730)

CaZrMo2 at its PBEsol-relaxed geometry. Source: Alexandria, functional SCAN.

Calculated values
space-group type = Cmmm, No. 65
E_form = 580.6 meV per atom

Lattice parameters (Å, degrees): 2.8696 2.8696 9.6947 90.00 90.00 108.92
Positions (direct):
Ca (0.0000, 0.0000, 0.0000)
Zr (0.0000, 0.0000, 0.5000)
Mo (0.5000, 0.5000, 0.2673)
Mo (0.5000, 0.5000, 0.7327)

Ca2ZrMo at its PBEsol-relaxed geometry. Source: Alexandria, functional SCAN.

Calculated values
space-group type = Imm2, No. 44
E_form = 532.5 meV per atom

Lattice parameters (Å, degrees): 6.3247 6.3247 6.3247 149.52 125.58 63.67
Positions (direct):
Ca (0.0000, 0.0000, 0.0000)
Ca (0.7014, 0.2014, 0.5000)
Zr (0.2881, 0.7881, 0.5000)
Mo (0.4638, 0.4638, 0.0000)

CaZrMo2 at its PBEsol-relaxed geometry. Source: Alexandria, functional SCAN.

Calculated values
space-group type = P4mm, No. 99
E_form = 312.3 meV per atom

Lattice parameters (Å, degrees): 3.2049 3.2049 8.1454 90.00 90.00 90.00
Positions (direct):
Ca (0.0000, 0.0000, 0.0000)
Zr (0.5000, 0.5000, 0.6453)
Mo (0.0000, 0.0000, 0.4340)
Mo (0.5000, 0.5000, 0.2708)

Ca2ZrMo at its PBEsol-relaxed geometry. Source: Alexandria, functional SCAN.

Calculated values
space-group type = Cm, No. 8
E_form = 556.8 meV per atom

Lattice parameters (Å, degrees): 4.7247 4.7247 7.5691 93.56 93.56 40.48
Positions (direct):
Ca (0.0000, 0.0000, 0.0000)
Ca (0.2305, 0.2305, 0.6428)
Zr (0.7536, 0.7536, 0.2790)
Mo (0.4902, 0.4902, 0.3688)

Ca2ZrMo at its PBEsol-relaxed geometry. Source: Alexandria, functional SCAN.

Calculated values
space-group type = P4/mmm, No. 123
E_form = 776.8 meV per atom

Lattice parameters (Å, degrees): 2.9312 2.9312 10.7081 90.00 90.00 90.00
Positions (direct):
Ca (0.0000, 0.0000, 0.2266)
Ca (0.0000, 0.0000, 0.7734)
Zr (0.5000, 0.5000, 0.5000)
Mo (0.5000, 0.5000, 0.0000)

CaZr2Mo at its PBEsol-relaxed geometry. Source: Alexandria, functional SCAN.

Calculated values
space-group type = P4mm, No. 99
E_form = 512.4 meV per atom

Lattice parameters (Å, degrees): 2.9167 2.9167 10.1147 90.00 90.00 90.00
Positions (direct):
Ca (0.0000, 0.0000, 0.0000)
Zr (0.0000, 0.0000, 0.4634)
Zr (0.5000, 0.5000, 0.7003)
Mo (0.5000, 0.5000, 0.2398)

Ca2ZrMo at its PBEsol-relaxed geometry. Source: Alexandria, functional SCAN.

Calculated values
space-group type = P4mm, No. 99
E_form = 313.4 meV per atom

Lattice parameters (Å, degrees): 3.5413 3.5413 8.4912 90.00 90.00 90.00
Positions (direct):
Ca (0.0000, 0.0000, 0.0000)
Ca (0.5000, 0.5000, 0.3556)
Zr (0.5000, 0.5000, 0.7278)
Mo (0.0000, 0.0000, 0.6032)

Ca3N2 at its PBEsol-relaxed geometry. Source: Alexandria, functional SCAN.

Calculated values
formation energy from raw total energies = -976 meV/atom
space-group type = Ia-3, No. 206

Lattice parameters (Å, degrees): 9.8151 9.8151 9.8151 109.47 109.47 109.47
Positions (direct):
Ca (0.0071, 0.0442, 0.2718)
Ca (0.0371, 0.4929, 0.7647)
Ca (0.0442, 0.2718, 0.0071)
Ca (0.2282, 0.2725, 0.7353)
Ca (0.2275, 0.4558, 0.4629)
Ca (0.2353, 0.9629, 0.5071)
Ca (0.2647, 0.7718, 0.7275)
Ca (0.2718, 0.0071, 0.0442)
Ca (0.2725, 0.7353, 0.2282)
Ca (0.4558, 0.4629, 0.2275)
Ca (0.4629, 0.2275, 0.4558)
Ca (0.4929, 0.7647, 0.0371)
Ca (0.5071, 0.2353, 0.9629)
Ca (0.5371, 0.7725, 0.5442)
Ca (0.5442, 0.5371, 0.7725)
Ca (0.7275, 0.2647, 0.7718)
Ca (0.7282, 0.9929, 0.9558)
Ca (0.7353, 0.2282, 0.2725)
Ca (0.7647, 0.0371, 0.4929)
Ca (0.7725, 0.5442, 0.5371)
Ca (0.7718, 0.7275, 0.2647)
Ca (0.9558, 0.7282, 0.9929)
Ca (0.9629, 0.5071, 0.2353)
Ca (0.9929, 0.9558, 0.7282)
N (0.0000, 0.0000, 0.5000)
N (0.0000, 0.5000, 0.0000)
N (0.0401, 0.7500, 0.7901)
N (0.2099, 0.9599, 0.2500)
N (0.2500, 0.2099, 0.9599)
N (0.2500, 0.7099, 0.4599)
N (0.2901, 0.5401, 0.7500)
N (0.4599, 0.2500, 0.7099)
N (0.5000, 0.0000, 0.0000)
N (0.5000, 0.5000, 0.5000)
N (0.5401, 0.7500, 0.2901)
N (0.7099, 0.4599, 0.2500)
N (0.7500, 0.2901, 0.5401)
N (0.7500, 0.7901, 0.0401)
N (0.7901, 0.0401, 0.7500)
N (0.9599, 0.2500, 0.2099)

Ca2N at its PBEsol-relaxed geometry. Source: Alexandria, functional SCAN.

Calculated values
formation energy from raw total energies = -909 meV/atom
space-group type = R-3m, No. 166

Lattice parameters (Å, degrees): 6.6774 6.6774 6.6774 30.93 30.93 30.93
Positions (direct):
Ca (0.2320, 0.2320, 0.2320)
Ca (0.7680, 0.7680, 0.7680)
N (0.5000, 0.5000, 0.5000)

Ca3N2 at its PBEsol-relaxed geometry. Source: Alexandria, functional SCAN.

Calculated values
formation energy from raw total energies = -891 meV/atom
space-group type = P-3m1, No. 164

Lattice parameters (Å, degrees): 3.8399 3.8399 6.6238 90.00 90.00 120.00
Positions (direct):
Ca (0.0000, 0.0000, 0.0000)
Ca (0.3333, 0.6667, 0.3390)
Ca (0.6667, 0.3333, 0.6610)
N (0.3333, 0.6667, 0.7654)
N (0.6667, 0.3333, 0.2346)

CaN2 at its PBEsol-relaxed geometry. Source: Alexandria, functional SCAN.

Calculated values
formation energy from raw total energies = -649 meV/atom
space-group type = I4/mmm, No. 139

Lattice parameters (Å, degrees): 3.8776 3.8776 3.8776 125.51 125.51 80.70
Positions (direct):
Ca (0.0000, 0.0000, 0.0000)
N (0.3940, 0.3940, 0.0000)
N (0.6060, 0.6060, 0.0000)

Ca3N2 at its PBEsol-relaxed geometry. Source: Alexandria, functional SCAN.

Calculated values
formation energy from raw total energies = -938 meV/atom
space-group type = C2/m, No. 12

Lattice parameters (Å, degrees): 7.6729 7.6729 9.2503 100.20 100.20 28.15
Positions (direct):
Ca (0.0000, 0.0000, 0.0000)
Ca (0.0312, 0.0312, 0.6599)
Ca (0.2895, 0.2895, 0.3783)
Ca (0.3278, 0.3278, 0.0349)
Ca (0.3738, 0.3738, 0.7211)
Ca (0.6262, 0.6262, 0.2789)
Ca (0.6722, 0.6722, 0.9651)
Ca (0.7105, 0.7105, 0.6217)
Ca (0.9688, 0.9688, 0.3401)
N (0.1409, 0.1409, 0.4877)
N (0.1830, 0.1830, 0.1315)
N (0.4694, 0.4694, 0.1873)
N (0.5306, 0.5306, 0.8127)
N (0.8170, 0.8170, 0.8685)
N (0.8591, 0.8591, 0.5123)

Ca3N2 at its PBEsol-relaxed geometry. Source: Alexandria, functional SCAN.

Calculated values
formation energy from raw total energies = -945 meV/atom
space-group type = Pbcn, No. 60

Lattice parameters (Å, degrees): 8.8528 6.1420 6.2845 90.00 90.00 90.00
Positions (direct):
Ca (0.0000, 0.0448, 0.2500)
Ca (0.0000, 0.9552, 0.7500)
Ca (0.1527, 0.3932, 0.6050)
Ca (0.1527, 0.6068, 0.1050)
Ca (0.3473, 0.1068, 0.1050)
Ca (0.3473, 0.8932, 0.6050)
Ca (0.5000, 0.4552, 0.7500)
Ca (0.5000, 0.5448, 0.2500)
Ca (0.6527, 0.1068, 0.3950)
Ca (0.6527, 0.8932, 0.8950)
Ca (0.8473, 0.3932, 0.8950)
Ca (0.8473, 0.6068, 0.3950)
N (0.1121, 0.2473, 0.9681)
N (0.1121, 0.7527, 0.4681)
N (0.3879, 0.2527, 0.4681)
N (0.3879, 0.7473, 0.9681)
N (0.6121, 0.2527, 0.0319)
N (0.6121, 0.7473, 0.5319)
N (0.8879, 0.2473, 0.5319)
N (0.8879, 0.7527, 0.0319)

Ca3N2 at its PBEsol-relaxed geometry. Source: Alexandria, functional SCAN.

Calculated values
formation energy from raw total energies = -959 meV/atom
space-group type = R-3c, No. 167

Lattice parameters (Å, degrees): 6.5228 6.5228 6.5228 55.96 55.96 55.96
Positions (direct):
Ca (0.0497, 0.7500, 0.4503)
Ca (0.2500, 0.5497, 0.9503)
Ca (0.4503, 0.0497, 0.7500)
Ca (0.5497, 0.9503, 0.2500)
Ca (0.7500, 0.4503, 0.0497)
Ca (0.9503, 0.2500, 0.5497)
N (0.1467, 0.1467, 0.1467)
N (0.3533, 0.3533, 0.3533)
N (0.6467, 0.6467, 0.6467)
N (0.8533, 0.8533, 0.8533)

Na2CaN at its PBEsol-relaxed geometry. Source: Alexandria, functional SCAN.

Calculated values
formation energy from raw total energies = 612 meV/atom
space-group type = I4_1/amd, No. 141

Lattice parameters (Å, degrees): 7.1054 7.1054 7.1054 120.31 120.31 89.46
Positions (direct):
Na (0.0000, 0.0000, 0.0000)
Na (0.0000, 0.0000, 0.5000)
Na (0.0000, 0.5000, 0.0000)
Na (0.5000, 0.0000, 0.5000)
Ca (0.3750, 0.6250, 0.7500)
Ca (0.6250, 0.3750, 0.2500)
N (0.1250, 0.8750, 0.2500)
N (0.8750, 0.1250, 0.7500)